Record 1
VASP calculation (PBE) on a geometry-optimized Te2AsRh structure.

a = 9.3997 Å, b = 9.3997 Å, c = 9.3997 Å
α = 21.61°, β = 21.61°, γ = 21.61°
Last column: nearest neighbours and their distance in Å.
Element x y z (fractional)
Te: 0.0000 0.0000 0.0000  3 As 3.00
Te: 0.1967 0.1967 0.1967  3 Rh 2.69
As: 0.7469 0.7469 0.7469  3 Rh 2.50
Rh: 0.4663 0.4663 0.4663  3 As 2.50, 3 Te 2.69

Values from the calculation:
Calculated volume in Å³ per atom: 24.7
E_tot in eV/atom: -4.65
Crystal system: trigonal
Magnetic moment in μB/cell: 0.00



Record 2
VASP calculation (PBE) on a geometry-optimized PuNiHg structure.

a = 6.6209 Å, b = 5.4430 Å, c = 5.3307 Å
α = 75.83°, β = 52.85°, γ = 51.32°
Last column: nearest neighbours and their distance in Å.
Element x y z (fractional)
Pu: 0.1641 0.8359 0.1641  4 Ni 2.83, 3 Pu 3.03-3.10
Pu: 0.8359 0.1641 0.8359  4 Ni 2.83, 3 Pu 3.03-3.10
Ni: 0.2500 0.2500 0.2500  2 Ni 2.67, 4 Hg 2.79, 4 Pu 2.83
Ni: 0.7500 0.7500 0.7500  2 Ni 2.67, 4 Hg 2.79, 4 Pu 2.83
Hg: 0.3382 0.3382 0.6618  4 Ni 2.79, 1 Hg 3.07
Hg: 0.6618 0.6618 0.3382  4 Ni 2.79, 1 Hg 3.07

Values from the calculation:
Calculated volume in Å³ per atom: 19.5
Energy of formation in eV/atom: -0.050
Crystal system: orthorhombic
Magnetic moment in μB/cell: 11.45